Entry 1:
TbTh3Sc4 | PBE | relaxed

Cell: 5.509 7.841 10.563 Å, 90.00 90.00 90.00°
Positions (direct):
1 Tb 0.596 0.647 0.500
2 Tb 0.096 0.353 0.000
3 Th 0.093 0.359 0.500
4 Th 0.537 0.356 0.751
5 Th 0.537 0.356 0.249
6 Th 0.037 0.644 0.251
7 Th 0.593 0.641 0.000
8 Th 0.037 0.644 0.749
9 Sc 0.121 0.899 0.000
10 Sc 0.006 0.097 0.751
11 Sc 0.506 0.903 0.749
12 Sc 0.506 0.903 0.251
13 Sc 0.118 0.906 0.500
14 Sc 0.621 0.101 0.500
15 Sc 0.618 0.094 0.000
16 Sc 0.006 0.097 0.249

## Properties
space-group type = No. 31
total magnetization = 0.000 μB/atom
total energy = -6.44 eV/atom
E_form = 1.9 kcal/mol of atoms



Entry 2:
Sm7DyHo2 | PBE | relaxed

Cell: 6.232 9.519 9.521 Å, 141.81 71.01 102.54°
Positions (direct):
1 Sm 0.500 0.701 0.802
2 Sm 0.500 0.299 0.198
3 Sm 0.002 0.199 0.799
4 Sm 0.998 0.801 0.201
5 Sm 0.500 0.500 0.000
6 Sm 0.001 0.399 0.598
7 Sm 0.999 0.601 0.402
8 Dy 0.000 0.000 0.000
9 Ho 0.499 0.900 0.600
10 Ho 0.501 0.100 0.400

## Properties
space-group type = No. 2
total magnetization = 0.000 μB/atom
total energy = -4.66 eV/atom
E_form = 0.4 kcal/mol of atoms



Entry 3:
TmZrHgOs | PBE | relaxed

Cell: 3.323 3.323 7.585 Å, 90.00 90.00 90.00°
Positions (direct):
1 Os 0.000 0.000 0.555
2 Zr 0.500 0.500 0.355
3 Tm 0.500 0.500 0.794
4 Hg 0.000 0.000 0.080

## Properties
space-group type = No. 99
total magnetization = 0.000 μB/atom
total energy = -6.53 eV/atom
E_form = -9.1 kcal/mol of atoms



Entry 4:
PrNiH | PBE | relaxed

Cell: 3.674 3.674 4.769 Å, 112.65 112.65 90.00°
Positions (direct):
1 Pr 0.589 0.589 0.178
2 H 0.031 0.031 0.061
3 Ni 0.230 0.230 0.461

## Properties
space-group type = No. 107
total magnetization = 0.000 μB/atom
total energy = -4.75 eV/atom



Entry 5:
Rb2Pd2Au | PBE | relaxed

Cell: 6.594 6.594 6.089 Å, 57.21 57.21 90.00°
Each line ends with the local moment (μB).
Positions (direct):
1 Au 0.000 0.000 0.000  0.04
2 Pd 0.337 0.337 0.327  0.23
3 Pd 0.663 0.663 0.673  0.23
4 Rb 0.250 0.750 0.500  0.00
5 Rb 0.750 0.250 0.500  0.00

## Properties
space-group type = No. 139
total magnetization = 0.121 μB/atom
total energy = -2.87 eV/atom
E_form = 5.7 kcal/mol of atoms



Entry 6:
NaMg2Al2 | PBE | relaxed

Cell: 4.380 4.380 7.092 Å, 72.01 72.01 90.00°
Positions (direct):
1 Mg 0.250 0.750 0.500
2 Mg 0.750 0.250 0.500
3 Na 0.000 0.000 0.000
4 Al 0.399 0.399 0.203
5 Al 0.601 0.601 0.797

## Properties
space-group type = No. 139
total magnetization = 0.000 μB/atom
total energy = -2.25 eV/atom
E_form = 3.4 kcal/mol of atoms



Entry 7:
RbLa | PBE | relaxed

Cell: 18.392 3.781 10.667 Å, 90.00 90.00 90.00°
Each line ends with the local moment (μB).
Positions (direct):
1 Rb 0.000 0.691 0.057  0.00
2 Rb 0.500 0.309 0.557  0.00
3 Rb 0.721 0.695 0.232  0.00
4 Rb 0.221 0.305 0.732  0.00
5 Rb 0.779 0.305 0.732  0.00
6 Rb 0.279 0.695 0.232  0.00
7 La 0.582 0.812 0.913  -0.08
8 La 0.918 0.188 0.413  -0.08
9 La 0.000 0.697 0.655  -0.14
10 La 0.500 0.303 0.155  -0.14
11 La 0.418 0.812 0.913  -0.08
12 La 0.082 0.188 0.413  -0.08

## Properties
space-group type = No. 31
total magnetization = 0.117 μB/atom
total energy = -2.53 eV/atom
E_form = 9.6 kcal/mol of atoms



Entry 8:
Ba2LiZn3F12 | PBE | relaxed

Cell: 7.129 7.129 7.129 Å, 63.49 63.49 63.49°
Each line ends with the local moment (μB).
Positions (direct):
1 F 0.917 0.917 0.330  0.07
2 F 0.083 0.670 0.083  0.07
3 F 0.335 0.335 0.941  0.03
4 F 0.670 0.083 0.083  0.07
5 F 0.083 0.083 0.670  0.07
6 F 0.917 0.330 0.917  0.07
7 F 0.665 0.665 0.059  0.03
8 F 0.059 0.665 0.665  0.03
9 F 0.330 0.917 0.917  0.07
10 F 0.941 0.335 0.335  0.03
11 F 0.335 0.941 0.335  0.03
12 F 0.665 0.059 0.665  0.03
13 Zn 0.000 0.500 0.000  0.07
14 Zn 0.500 0.000 0.000  0.07
15 Zn 0.000 0.000 0.500  0.07
16 Ba 0.335 0.335 0.335  0.00
17 Ba 0.665 0.665 0.665  0.00
18 Li 0.000 0.000 0.000  0.00

## Properties
formation energy without anion corrections = -2.688 eV/atom
space-group type = No. 166
total magnetization = 0.049 μB/atom
total energy = -4.47 eV/atom